# CoTeF2 GGA+U optimized geometry
# Raw total energy = -3.296 eV/atom
# Excess energy over the best structure of this formula in the dataset = 1138 meV/atom
# Magnetic moment = 3.0 μB per cell
# DOS(E_F) = 0.8898 states/eV per atom
data_CoTeF2
_chemical_formula_sum 'Co1 Te1 F2'
_space_group_name_H-M_alt 'P 1'
_space_group_IT_number 1
_cell_length_a 4.448
_cell_length_b 4.448
_cell_length_c 4.448
_cell_angle_alpha 60.00
_cell_angle_beta 60.00
_cell_angle_gamma 60.00
loop_
_space_group_symop_operation_xyz
'x,y,z'
loop_
_atom_site_label
_atom_site_fract_x
_atom_site_fract_y
_atom_site_fract_z
Te1 0.500 0.500 0.500
Co1 0.000 0.000 0.000
F1 0.250 0.250 0.250
F2 0.750 0.750 0.750